[1]
Below is HfTl2Ga after structural relaxation, with properties calculated at the PBE level.

Values from the calculation:
* DFT formation energy: 1.45 eV per formula unit
* energy relative to the lowest polymorph listed for this composition: 0.034 eV per atom

abc: 3.305 3.305 11.039
angles: 81.39 81.39 60.00
Sites, in units of the cell vectors:
Tl  0.090  0.090  0.730
Tl  0.910  0.910  0.270
Hf  0.000  0.000  0.000
Ga  0.500  0.500  0.500

=====

[2]
Below is Hf6TlGa2 after structural relaxation, with properties calculated at the PBE level.

Values from the calculation:
* DFT formation energy: -0.52 eV per formula unit

abc: 5.293 8.164 8.885
angles: 90.00 86.14 90.00
Sites, in units of the cell vectors:
Hf  0.918  0.973  0.173
Hf  0.929  0.659  0.577
Hf  0.962  0.684  0.931
Hf  0.538  0.184  0.569
Hf  0.571  0.159  0.923
Hf  0.582  0.473  0.327
Hf  0.082  0.027  0.827
Hf  0.071  0.341  0.423
Hf  0.038  0.316  0.069
Hf  0.462  0.816  0.431
Hf  0.429  0.841  0.077
Hf  0.418  0.527  0.673
Tl  0.500  0.500  0.000
Tl  0.000  0.000  0.500
Ga  0.928  0.364  0.751
Ga  0.572  0.864  0.749
Ga  0.428  0.136  0.251
Ga  0.072  0.636  0.249

=====

[3]
Below is Hf2Tl2Ga after structural relaxation, with properties calculated at the PBE level.

Values from the calculation:
* DFT formation energy: 0.44 eV per formula unit
* energy relative to the lowest polymorph listed for this composition: 0.000 eV per atom

abc: 7.166 7.166 4.550
angles: 90.00 90.00 90.00
Sites, in units of the cell vectors:
Tl  0.156  0.656  0.500
Tl  0.656  0.844  0.500
Tl  0.844  0.344  0.500
Tl  0.344  0.156  0.500
Hf  0.343  0.843  0.000
Hf  0.843  0.657  0.000
Hf  0.657  0.157  0.000
Hf  0.157  0.343  0.000
Ga  0.000  0.000  0.000
Ga  0.500  0.500  0.000